1.
TaAs2IBr after structural relaxation, computed with PBE-GGA.

Cell lengths 5.1183, 5.1183, 5.0893 Å; angles 90.00, 90.00, 90.00 degrees
Closest atoms and distances in Å follow each position.
Space group P4/mmm (No. 123)
Inequivalent atoms, fractional coordinates:
Ta 0.0000 0.0000 0.0000 [1 per cell]  2 Br 2.54, 4 As 2.56
As 0.0000 0.5000 0.0000 [2 per cell]  2 Ta 2.56
I 0.5000 0.5000 0.5000 [1 per cell]  8 As 3.61, 4 Br 3.62
Br 0.0000 0.0000 0.5000 [1 per cell]  2 Ta 2.54

The relative energy among the computed polymorphs comes out at 0.000 eV/atom. As for the crystal system: tetragonal. As for the magnetization: 0.00 μB per cell. As for the total energy: -4.708 eV/atom.

2.
TcAsIBr2 after structural relaxation, computed with PBE-GGA.

Cell lengths 5.1044, 5.1044, 4.9604 Å; angles 90.00, 90.00, 90.00 degrees
Closest atoms and distances in Å follow each position.
Space group P4/mmm (No. 123)
Inequivalent atoms, fractional coordinates:
Tc 0.0000 0.0000 0.0000 [1 per cell]  2 As 2.48, 4 Br 2.55
As 0.0000 0.0000 0.5000 [1 per cell]  2 Tc 2.48
I 0.5000 0.5000 0.5000 [1 per cell]  8 Br 3.56, 4 As 3.61
Br 0.0000 0.5000 0.0000 [2 per cell]  2 Tc 2.55

The relative energy among the computed polymorphs comes out at 0.000 eV/atom. As for the crystal system: tetragonal. As for the magnetization: 0.80 μB per cell. As for the total energy: -3.685 eV/atom.

3.
TeAsI2Br after structural relaxation, computed with PBE-GGA.

Cell lengths 5.8377, 5.8377, 5.9054 Å; angles 90.00, 90.00, 90.00 degrees
Closest atoms and distances in Å follow each position.
Space group P4/mmm (No. 123)
Inequivalent atoms, fractional coordinates:
Te 0.0000 0.0000 0.0000 [1 per cell]  2 Br 2.95
As 0.5000 0.5000 0.0000 [1 per cell]  4 Te 4.13, 8 I 4.15
I 0.0000 0.5000 0.5000 [2 per cell]  2 Br 2.92
Br 0.0000 0.0000 0.5000 [1 per cell]  4 I 2.92, 2 Te 2.95

The relative energy among the computed polymorphs comes out at 0.585 eV/atom. As for the crystal system: tetragonal. As for the magnetization: 1.01 μB per cell. As for the total energy: -1.604 eV/atom.

4.
TeAsI2Br after structural relaxation, computed with PBE-GGA.

Cell lengths 5.5916, 5.5916, 5.7404 Å; angles 90.00, 90.00, 90.00 degrees
Closest atoms and distances in Å follow each position.
Space group P4/mmm (No. 123)
Inequivalent atoms, fractional coordinates:
Te 0.0000 0.0000 0.0000 [1 per cell]  2 As 2.87
As 0.0000 0.0000 0.5000 [1 per cell]  4 I 2.80, 2 Te 2.87
I 0.0000 0.5000 0.5000 [2 per cell]  2 As 2.80
Br 0.5000 0.5000 0.0000 [1 per cell]  4 Te 3.95, 8 I 4.01

The relative energy among the computed polymorphs comes out at 0.000 eV/atom. As for the crystal system: tetragonal. As for the magnetization: 1.05 μB per cell. As for the total energy: -2.189 eV/atom.

5.
TeAs2IBr after structural relaxation, computed with PBE-GGA.

Cell lengths 5.5636, 5.5636, 5.4768 Å; angles 90.00, 90.00, 90.00 degrees
Closest atoms and distances in Å follow each position.
Space group P4/mmm (No. 123)
Inequivalent atoms, fractional coordinates:
Te 0.0000 0.0000 0.0000 [1 per cell]  2 Br 2.74, 4 As 2.78
As 0.0000 0.5000 0.0000 [2 per cell]  2 Te 2.78
I 0.5000 0.5000 0.5000 [1 per cell]  8 As 3.90, 4 Br 3.93
Br 0.0000 0.0000 0.5000 [1 per cell]  2 Te 2.74

The relative energy among the computed polymorphs comes out at 0.000 eV/atom. As for the crystal system: tetragonal. As for the magnetization: 1.60 μB per cell. As for the total energy: -2.461 eV/atom.

6.
Te2AsIBr after structural relaxation, computed with PBE-GGA.

Cell lengths 5.5505, 5.5505, 5.5431 Å; angles 90.00, 90.00, 90.00 degrees
Closest atoms and distances in Å follow each position.
Space group P4/mmm (No. 123)
Inequivalent atoms, fractional coordinates:
Te 0.0000 0.5000 0.0000 [2 per cell]  2 As 2.78
As 0.0000 0.0000 0.0000 [1 per cell]  2 I 2.77, 4 Te 2.78
I 0.0000 0.0000 0.5000 [1 per cell]  2 As 2.77
Br 0.5000 0.5000 0.5000 [1 per cell]  8 Te 3.92, 4 I 3.92

The relative energy among the computed polymorphs comes out at 0.000 eV/atom. As for the crystal system: tetragonal. As for the magnetization: 0.00 μB per cell. As for the total energy: -2.402 eV/atom.

7.
TeAsIBr2 after structural relaxation, computed with PBE-GGA.

Cell lengths 5.4045, 5.4045, 5.8621 Å; angles 90.00, 90.00, 90.00 degrees
Closest atoms and distances in Å follow each position.
Space group P4/mmm (No. 123)
Inequivalent atoms, fractional coordinates:
Te 0.0000 0.0000 0.0000 [1 per cell]  4 Br 2.70, 2 As 2.93
As 0.0000 0.0000 0.5000 [1 per cell]  2 Te 2.93
I 0.5000 0.5000 0.5000 [1 per cell]  4 As 3.82, 8 Br 3.99
Br 0.0000 0.5000 0.0000 [2 per cell]  2 Te 2.70

The relative energy among the computed polymorphs comes out at 0.094 eV/atom. As for the crystal system: tetragonal. As for the magnetization: 0.00 μB per cell. As for the total energy: -2.222 eV/atom.

8.
TeAsIBr2 after structural relaxation, computed with PBE-GGA.

Cell lengths 5.2286, 5.2286, 5.9429 Å; angles 90.00, 90.00, 90.00 degrees
Closest atoms and distances in Å follow each position.
Space group P4/mmm (No. 123)
Inequivalent atoms, fractional coordinates:
Te 0.0000 0.0000 0.0000 [1 per cell]  4 I 3.70, 8 Br 3.96
As 0.5000 0.5000 0.5000 [1 per cell]  4 Br 2.61
I 0.5000 0.5000 0.0000 [1 per cell]  2 As 2.97
Br 0.0000 0.5000 0.5000 [2 per cell]  2 As 2.61

The relative energy among the computed polymorphs comes out at 0.000 eV/atom. As for the crystal system: tetragonal. As for the magnetization: 1.30 μB per cell. As for the total energy: -2.316 eV/atom.

Look up the relative energy among the computed polymorphs of the sixth one.
0.000 eV/atom